# Te2Rh3Pb2

A relaxed structure of Te2Rh3Pb2 (GGA-PBE, Alexandria via LeMat-Bulk).

POSCAR file:
```
Te2Rh3Pb2
1.0
5.1950 0.0000 2.7438
1.8729 4.8457 2.7438
0.0273 0.0187 6.2383
Te Rh Pb
2 3 2
direct
0.2086 0.2086 0.3743 Te
0.7914 0.7914 0.6257 Te
0.5000 0.0000 0.0000 Rh
0.5000 0.5000 0.0000 Rh
0.0000 0.5000 0.0000 Rh
0.5000 0.5000 0.5000 Pb
0.0000 0.0000 0.0000 Pb
```

Summary:
Crystal system = trigonal
Magnetic moment = 0.00 μB per formula unit
Formation energy (no corrections) = -4.79 kcal/mol of atoms

---

# Pr8Tm2Cd

A relaxed structure of Pr8Tm2Cd (GGA-PBE, Alexandria via LeMat-Bulk).

POSCAR file:
```
Pr8Tm2Cd
1.0
5.1200 0.0000 0.0000
-2.5600 5.7368 0.1162
0.0000 2.9841 12.6043
Pr Tm Cd
8 2 1
direct
0.5916 0.1833 0.3586 Pr
0.7586 0.5172 0.0875 Pr
0.8592 0.7183 0.4531 Pr
0.9628 0.9256 0.8217 Pr
0.1408 0.2817 0.5469 Pr
0.2414 0.4828 0.9125 Pr
0.4084 0.8167 0.6414 Pr
0.0372 0.0744 0.1783 Pr
0.6843 0.3686 0.7376 Tm
0.3157 0.6314 0.2624 Tm
0.5000 0.0000 0.0000 Cd
```

Summary:
Distance to the lowest polymorph of the same formula = 0.000 eV/atom
Crystal system = monoclinic
Magnetic moment = 0.00 μB per formula unit

---

# ThH8Rh6

A relaxed structure of ThH8Rh6 (GGA-PBE, Alexandria via LeMat-Bulk).

POSCAR file:
```
ThH8Rh6
1.0
-4.7868 1.1774 -1.8925
1.4120 -3.7910 -3.3934
-1.3673 -2.9605 4.1529
Th H Rh
1 8 6
direct
0.0000 0.0000 0.0000 Th
0.6660 0.6660 0.6660 H
0.3340 0.3340 0.3340 H
0.6219 0.7950 0.1974 H
0.7950 0.1974 0.6219 H
0.1974 0.6219 0.7950 H
0.3781 0.2050 0.8026 H
0.2050 0.8026 0.3781 H
0.8026 0.3781 0.2050 H
0.7042 0.4198 0.8676 Rh
0.4198 0.8676 0.7042 Rh
0.8676 0.7042 0.4198 Rh
0.2958 0.5802 0.1324 Rh
0.5802 0.1324 0.2958 Rh
0.1324 0.2958 0.5802 Rh
```

Summary:
Crystal system = trigonal
Total energy = -5.4143 eV per atom
Magnetic moment = 0.00 μB per formula unit

---

# Ac2PuSc

A relaxed structure of Ac2PuSc (GGA-PBE, Alexandria via LeMat-Bulk).

POSCAR file:
```
Ac2PuSc
1.0
3.8975 0.0000 0.0000
0.0000 5.9459 0.0000
0.0000 0.0000 5.9459
Sc Ac Pu
1 2 1
direct
0.5000 0.5000 0.5000 Sc
0.0000 0.0000 0.5000 Ac
0.0000 0.5000 0.0000 Ac
0.5000 0.0000 0.0000 Pu
```

Summary:
Distance to the lowest polymorph of the same formula = 0.025 eV/atom
Crystal system = tetragonal
Magnetic moment = 7.16 μB per formula unit

---

# CrAgSb2

A relaxed structure of CrAgSb2 (GGA-PBE, Alexandria via LeMat-Bulk).

POSCAR file:
```
CrAgSb2
1.0
-6.5658 -3.8433 -4.2159
-4.0012 -4.5068 -6.2716
-4.5651 -6.4647 -3.6085
Ag Cr Sb
1 1 2
direct
0.2500 0.2500 0.2500 Ag
0.7500 0.7500 0.7500 Cr
0.0104 0.0104 0.0104 Sb
0.4896 0.4896 0.4896 Sb
```

Summary:
Distance to the lowest polymorph of the same formula = 0.037 eV/atom
Crystal system = trigonal
Magnetic moment = 1.31 μB per formula unit
Formation energy (no corrections) = 5.59 kcal/mol of atoms

---

# Pr2ThOs2

A relaxed structure of Pr2ThOs2 (GGA-PBE, Alexandria via LeMat-Bulk).

POSCAR file:
```
Pr2ThOs2
1.0
-2.1960 -3.6727 0.8839
-1.4115 -0.3131 5.9853
-5.6559 1.2786 2.0637
Pr Th Os
2 1 2
direct
0.3023 0.1974 0.6976 Pr
0.6977 0.8026 0.3024 Pr
0.5000 0.5000 0.0000 Th
0.9999 0.2145 0.2852 Os
0.0001 0.7855 0.7148 Os
```

Summary:
Crystal system = orthorhombic
Total energy = -8.0298 eV per atom
Magnetic moment = 0.00 μB per formula unit

---

# CrS2

A relaxed structure of CrS2 (GGA-PBE, Alexandria via LeMat-Bulk).

POSCAR file:
```
CrS2
1.0
-1.6445 0.9285 -2.8936
4.0318 -1.2444 -2.6914
-1.8715 -8.6513 0.3516
Cr S
3 6
direct
0.0000 0.5000 0.0000 Cr
0.3370 0.0322 0.6738 Cr
0.6630 0.9678 0.3262 Cr
0.8803 0.3015 0.7606 S
0.1197 0.6985 0.2394 S
0.7901 0.7681 0.5801 S
0.5439 0.2117 0.0877 S
0.4561 0.7883 0.9123 S
0.2099 0.2319 0.4199 S
```

Summary:
Crystal system = monoclinic
Magnetic moment = 2.07 μB per formula unit
Formation energy (no corrections) = -12.36 kcal/mol of atoms

---

# DyScPa2

A relaxed structure of DyScPa2 (GGA-PBE, Alexandria via LeMat-Bulk).

POSCAR file:
```
DyScPa2
1.0
3.2656 0.0000 0.0000
1.6328 2.8281 0.0000
1.6328 0.9427 11.1960
Dy Sc Pa
1 1 2
direct
0.4998 0.4998 0.5007 Dy
0.6670 0.6670 0.9990 Sc
0.0810 0.0810 0.7571 Pa
0.2523 0.2523 0.2432 Pa
```

Summary:
Crystal system = trigonal
Total energy = -7.3418 eV per atom
Magnetic moment = 0.00 μB per formula unit